[1]
Crystalline TiNi2C at its relaxed geometry, computed with PBE-GGA.

Cell lengths 5.347, 5.347, 5.272 Å; angles 59.53, 59.53, 90.00 degrees
Element x y z (fractional)
Ni 0.232 0.625 0.250
Ni 0.518 0.125 0.250
Ni 0.375 0.482 0.750
Ni 0.875 0.768 0.750
Ti 0.750 0.250 0.500
Ti 0.000 0.000 0.000
C 0.500 0.500 0.000
C 0.250 0.750 0.500

Crystal system ... tetragonal
Formation energy ... 0.43 eV per atom
Size of the total moment ... 0.00 μB/f.u.
DOS at the Fermi energy ... 4.68 states/eV per cell
Final energy ... -6.742 eV/atom

---

[2]
Crystalline TiNiC3 at its relaxed geometry, computed with PBE-GGA.

Cell lengths 3.707, 3.707, 3.707 Å; angles 90.00, 90.00, 90.00 degrees
Element x y z (fractional)
C 0.000 0.500 0.000
C 0.500 0.000 0.000
C 0.000 0.000 0.500
Ni 0.000 0.000 0.000
Ti 0.500 0.500 0.500

Crystal system ... cubic
Formation energy ... 1.76 eV per atom
Size of the total moment ... 0.00 μB/f.u.
DOS at the Fermi energy ... 6.15 states/eV per cell
Final energy ... -6.506 eV/atom

---

[3]
Crystalline Ti4NiC at its relaxed geometry, computed with PBE-GGA.

Cell lengths 5.827, 5.452, 5.539 Å; angles 90.00, 99.27, 90.00 degrees
Element x y z (fractional)
Ti 0.697 0.667 0.613
Ti 0.613 0.141 0.838
Ti 0.113 0.359 0.838
Ti 0.197 0.833 0.613
Ti 0.803 0.167 0.387
Ti 0.387 0.859 0.162
Ti 0.887 0.641 0.162
Ti 0.303 0.333 0.387
Ni 0.000 0.000 0.000
Ni 0.500 0.500 0.000
C 0.000 0.500 0.500
C 0.500 0.000 0.500

Crystal system ... monoclinic
Formation energy ... -0.26 eV per atom
Size of the total moment ... 0.00 μB/f.u.
DOS at the Fermi energy ... 16.60 states/eV per cell
Final energy ... -8.028 eV/atom

---

[4]
Crystalline Ti12Ni6C at its relaxed geometry, computed with PBE-GGA.

Cell lengths 6.641, 6.641, 6.641 Å; angles 95.23, 95.23, 95.23 degrees
Element x y z (fractional)
Ti 0.076 0.302 0.956
Ti 0.924 0.698 0.044
Ti 0.804 0.583 0.460
Ti 0.044 0.924 0.698
Ti 0.417 0.540 0.196
Ti 0.196 0.417 0.540
Ti 0.698 0.044 0.924
Ti 0.583 0.460 0.804
Ti 0.540 0.196 0.417
Ti 0.956 0.076 0.302
Ti 0.460 0.804 0.583
Ti 0.302 0.956 0.076
Ni 0.738 0.371 0.141
Ni 0.262 0.629 0.859
Ni 0.371 0.141 0.738
Ni 0.141 0.738 0.371
Ni 0.629 0.859 0.262
Ni 0.859 0.262 0.629
C 0.000 0.000 0.000

Crystal system ... trigonal
Formation energy ... -0.13 eV per atom
Size of the total moment ... 0.00 μB/f.u.
DOS at the Fermi energy ... 23.22 states/eV per cell
Final energy ... -7.427 eV/atom

---

[5]
Crystalline Ti2NiC at its relaxed geometry, computed with PBE-GGA.

Cell lengths 2.986, 2.986, 6.659 Å; angles 77.04, 77.04, 60.00 degrees
Element x y z (fractional)
Ni 0.000 0.000 0.000
Ti 0.770 0.770 0.689
Ti 0.230 0.230 0.311
C 0.500 0.500 0.500

Crystal system ... trigonal
Formation energy ... -0.49 eV per atom
Size of the total moment ... 0.00 μB/f.u.
DOS at the Fermi energy ... 2.71 states/eV per cell
Final energy ... -8.187 eV/atom

---

[6]
Crystalline Ti2NiC at its relaxed geometry, computed with PBE-GGA.

Cell lengths 3.164, 3.108, 10.122 Å; angles 98.83, 90.00, 90.00 degrees
Element x y z (fractional)
Ti 0.250 0.301 0.602
Ti 0.750 0.699 0.398
Ti 0.750 0.908 0.815
Ti 0.250 0.092 0.185
C 0.750 0.805 0.609
C 0.250 0.195 0.391
Ni 0.750 0.545 0.089
Ni 0.250 0.455 0.911

Crystal system ... orthorhombic
Formation energy ... -0.57 eV per atom
Size of the total moment ... 0.00 μB/f.u.
DOS at the Fermi energy ... 3.32 states/eV per cell
Final energy ... -8.270 eV/atom

---

[7]
Crystalline Ti7Ni2C2 at its relaxed geometry, computed with PBE-GGA.

Cell lengths 5.308, 5.576, 5.308 Å; angles 90.00, 104.91, 90.00 degrees
Element x y z (fractional)
C 0.727 0.000 0.273
C 0.273 0.000 0.727
Ni 0.172 0.500 0.172
Ni 0.828 0.500 0.828
Ti 0.000 0.000 0.000
Ti 0.000 0.752 0.500
Ti 0.500 0.240 0.500
Ti 0.500 0.248 0.000
Ti 0.500 0.760 0.500
Ti 0.500 0.752 0.000
Ti 0.000 0.248 0.500

Crystal system ... orthorhombic
Formation energy ... -0.28 eV per atom
Size of the total moment ... 0.00 μB/f.u.
DOS at the Fermi energy ... 13.28 states/eV per cell
Final energy ... -8.032 eV/atom

---

[8]
Crystalline Ti4NiC2 at its relaxed geometry, computed with PBE-GGA.

Cell lengths 3.087, 5.370, 11.015 Å; angles 90.00, 90.00, 106.70 degrees
Element x y z (fractional)
Ti 0.067 0.133 0.250
Ti 0.234 0.468 0.892
Ti 0.234 0.468 0.608
Ti 0.500 0.000 0.500
Ti 0.766 0.532 0.392
Ti 0.933 0.867 0.750
Ti 0.500 0.000 0.000
Ti 0.766 0.532 0.108
C 0.135 0.269 0.439
C 0.135 0.269 0.061
C 0.865 0.731 0.939
C 0.865 0.731 0.561
Ni 0.387 0.774 0.250
Ni 0.613 0.226 0.750

Crystal system ... orthorhombic
Formation energy ... -0.63 eV per atom
Size of the total moment ... 0.00 μB/f.u.
DOS at the Fermi energy ... 8.12 states/eV per cell
Final energy ... -8.598 eV/atom

---

[9]
Crystalline Zr2TiNiC at its relaxed geometry, computed with PBE-GGA.

Cell lengths 5.066, 3.498, 5.066 Å; angles 90.00, 90.00, 90.00 degrees
Element x y z (fractional)
Ni 0.000 0.000 0.000
C 0.000 0.500 0.000
Zr 0.500 0.000 0.000
Zr 0.000 0.000 0.500
Ti 0.500 0.500 0.500

Crystal system ... tetragonal
Formation energy ... 0.65 eV per atom
Size of the total moment ... 2.52 μB/f.u.
DOS at the Fermi energy ... 4.81 states/eV per cell
Final energy ... -7.351 eV/atom

---

[10]
Crystalline Tl2NiC at its relaxed geometry, computed with PBE-GGA.

Cell lengths 4.602, 4.602, 4.602 Å; angles 60.00, 60.00, 60.00 degrees
Element x y z (fractional)
Tl 0.250 0.250 0.250
Tl 0.750 0.750 0.750
C 0.000 0.000 0.000
Ni 0.500 0.500 0.500

Crystal system ... cubic
Formation energy ... 1.51 eV per atom
Size of the total moment ... 0.00 μB/f.u.
DOS at the Fermi energy ... 2.32 states/eV per cell
Final energy ... -3.428 eV/atom

---

[11]
Crystalline TlNi2C at its relaxed geometry, computed with PBE-GGA.

Cell lengths 4.196, 4.196, 4.196 Å; angles 60.00, 60.00, 60.00 degrees
Element x y z (fractional)
Tl 0.500 0.500 0.500
Ni 0.250 0.250 0.250
Ni 0.750 0.750 0.750
C 0.000 0.000 0.000

Crystal system ... cubic
Formation energy ... 1.41 eV per atom
Size of the total moment ... 0.00 μB/f.u.
DOS at the Fermi energy ... 2.25 states/eV per cell
Final energy ... -4.383 eV/atom

---

[12]
Crystalline Tl3NiC at its relaxed geometry, computed with PBE-GGA.

Cell lengths 5.070, 5.070, 5.070 Å; angles 90.00, 90.00, 90.00 degrees
Element x y z (fractional)
Tl 0.000 0.500 0.000
Tl 0.000 0.000 0.500
Tl 0.500 0.000 0.000
Ni 0.000 0.000 0.000
C 0.500 0.500 0.500

Crystal system ... cubic
Formation energy ... 1.28 eV per atom
Size of the total moment ... 2.54 μB/f.u.
DOS at the Fermi energy ... 2.17 states/eV per cell
Final energy ... -3.139 eV/atom